PuPaVO6 | PBE with a Hubbard U | optimized geometry

a b c (Å): 5.4785 5.4785 9.6267
angles (deg): 90.00 90.00 120.00
Space group P-31c (No. 163)
Asymmetric unit:
Pu (0.0000, 0.0000, 0.0000) x2
Pa (0.3333, 0.6667, 0.2500) x2
V (0.3333, 0.6667, 0.7500) x2
O (0.0192, 0.3505, 0.6346) x12

Output
For the density of states at the Fermi level, the calculation gives 16.17 states/eV/cell. For the total energy, the calculation gives -174.6 eV per cell.